Arrangement a

# PBE-GGA Hf2GaCu3, relaxed
data_Hf2GaCu3
_cell_length_a 8.0253
_cell_length_b 8.0253
_cell_length_c 8.0253
_cell_angle_alpha 156.89
_cell_angle_beta 150.73
_cell_angle_gamma 37.62
_space_group_name_H-M_alt 'P 1'
_space_group_IT_number 1
loop_
_space_group_symop_operation_xyz
'x,y,z'
loop_
_atom_site_label
_atom_site_fract_x
_atom_site_fract_y
_atom_site_fract_z
Hf1 0.0000 0.0000 0.0000
Hf2 0.7603 0.2603 0.5000
Ga1 0.5923 0.5923 0.0000
Cu1 0.1705 0.6705 0.5000
Cu2 0.3253 0.8253 0.5000
Cu3 0.4340 0.4340 0.0000
# Calculated density   10.35 g/cm³
# D(E_F)   4.84 states/eV/f.u.
# Space group   No. 44
# Total magnetic moment   0.00 μB per atom


Arrangement b

# PBE-GGA Hf2GaCu3, relaxed
data_Hf2GaCu3
_cell_length_a 8.5386
_cell_length_b 7.9845
_cell_length_c 5.2208
_cell_angle_alpha 77.46
_cell_angle_beta 65.90
_cell_angle_gamma 36.64
_space_group_name_H-M_alt 'P 1'
_space_group_IT_number 1
loop_
_space_group_symop_operation_xyz
'x,y,z'
loop_
_atom_site_label
_atom_site_fract_x
_atom_site_fract_y
_atom_site_fract_z
Hf1 0.2443 0.7557 0.7557
Hf2 0.2500 0.2500 0.2500
Hf3 0.7500 0.7500 0.7500
Hf4 0.7557 0.2443 0.2443
Ga1 0.3337 0.3337 0.6663
Ga2 0.6663 0.6663 0.3337
Cu1 0.1658 0.1658 0.8342
Cu2 0.1671 0.6666 0.3334
Cu3 0.3334 0.8329 0.1671
Cu4 0.6666 0.1671 0.8329
Cu5 0.8329 0.3334 0.6666
Cu6 0.8342 0.8342 0.1658
# Calculated density   10.80 g/cm³
# D(E_F)   3.75 states/eV/f.u.
# Space group   No. 69
# Total magnetic moment   0.00 μB per atom


The structure with the greatest stability is arrangement b.


Arrangement a

# PBE-GGA Hf2Ga2Cu, relaxed
data_Hf2Ga2Cu
_cell_length_a 8.6737
_cell_length_b 8.6737
_cell_length_c 5.5168
_cell_angle_alpha 90.00
_cell_angle_beta 90.00
_cell_angle_gamma 155.42
_space_group_name_H-M_alt 'P 1'
_space_group_IT_number 1
loop_
_space_group_symop_operation_xyz
'x,y,z'
loop_
_atom_site_label
_atom_site_fract_x
_atom_site_fract_y
_atom_site_fract_z
Hf1 0.0048 0.9952 0.5000
Hf2 0.2154 0.7846 0.4769
Hf3 0.7846 0.2154 0.9769
Hf4 0.9952 0.0048 0.0000
Ga1 0.1654 0.8346 0.9646
Ga2 0.3932 0.6068 0.7466
Ga3 0.6068 0.3932 0.2466
Ga4 0.8346 0.1654 0.4646
Cu1 0.3907 0.6093 0.2219
Cu2 0.6093 0.3907 0.7219
# Calculated density   10.77 g/cm³
# D(E_F)   2.05 states/eV/f.u.
# Space group   No. 36
# Total magnetic moment   0.00 μB per atom


Arrangement b

# PBE-GGA Hf2Ga2Cu, relaxed
data_Hf2Ga2Cu
_cell_length_a 6.4219
_cell_length_b 6.4219
_cell_length_c 4.2191
_cell_angle_alpha 90.00
_cell_angle_beta 90.00
_cell_angle_gamma 90.00
_space_group_name_H-M_alt 'P 1'
_space_group_IT_number 1
loop_
_space_group_symop_operation_xyz
'x,y,z'
loop_
_atom_site_label
_atom_site_fract_x
_atom_site_fract_y
_atom_site_fract_z
Hf1 0.1681 0.3319 0.0000
Hf2 0.3319 0.8319 0.0000
Hf3 0.6681 0.1681 0.0000
Hf4 0.8319 0.6681 0.0000
Ga1 0.1389 0.6389 0.5000
Ga2 0.3611 0.1389 0.5000
Ga3 0.6389 0.8611 0.5000
Ga4 0.8611 0.3611 0.5000
Cu1 0.0000 0.0000 0.5000
Cu2 0.5000 0.5000 0.5000
# Calculated density   10.69 g/cm³
# D(E_F)   1.93 states/eV/f.u.
# Space group   No. 127
# Total magnetic moment   0.00 μB per atom


The structure with the greatest stability is arrangement b.


Arrangement a

# PBE-GGA Hf3Ga4Cu2, relaxed
data_Hf3Ga4Cu2
_cell_length_a 5.3105
_cell_length_b 5.3105
_cell_length_c 8.0162
_cell_angle_alpha 113.50
_cell_angle_beta 113.50
_cell_angle_gamma 47.41
_space_group_name_H-M_alt 'P 1'
_space_group_IT_number 1
loop_
_space_group_symop_operation_xyz
'x,y,z'
loop_
_atom_site_label
_atom_site_fract_x
_atom_site_fract_y
_atom_site_fract_z
Hf1 0.0000 0.0000 0.0000
Hf2 0.3399 0.3399 0.3283
Hf3 0.6601 0.6601 0.6717
Ga1 0.0683 0.0683 0.3941
Ga2 0.2862 0.2862 0.9434
Ga3 0.7138 0.7138 0.0566
Ga4 0.9317 0.9317 0.6059
Cu1 0.3741 0.3741 0.7053
Cu2 0.6259 0.6259 0.2947
# Calculated density   10.43 g/cm³
# D(E_F)   3.55 states/eV/f.u.
# Space group   No. 12
# Total magnetic moment   0.00 μB per atom


Arrangement b

# PBE-GGA Hf3Ga4Cu2, relaxed
data_Hf3Ga4Cu2
_cell_length_a 5.3359
_cell_length_b 5.3359
_cell_length_c 14.9127
_cell_angle_alpha 99.91
_cell_angle_beta 99.91
_cell_angle_gamma 45.79
_space_group_name_H-M_alt 'P 1'
_space_group_IT_number 1
loop_
_space_group_symop_operation_xyz
'x,y,z'
loop_
_atom_site_label
_atom_site_fract_x
_atom_site_fract_y
_atom_site_fract_z
Hf1 0.0000 0.0000 0.0000
Hf2 0.2179 0.2179 0.8582
Hf3 0.3301 0.3301 0.6702
Hf4 0.5491 0.5491 0.5281
Hf5 0.6649 0.6649 0.3335
Hf6 0.8818 0.8818 0.1935
Ga1 0.0406 0.0406 0.6716
Ga2 0.1774 0.1774 0.1978
Ga3 0.2155 0.2155 0.4723
Ga4 0.3769 0.3769 0.3333
Ga5 0.5068 0.5068 0.8612
Ga6 0.5483 0.5483 0.1361
Ga7 0.7103 0.7103 0.9950
Ga8 0.8460 0.8460 0.5327
Cu1 0.3073 0.3073 0.0591
Cu2 0.6512 0.6512 0.7264
Cu3 0.8961 0.8961 0.8032
Cu4 0.9754 0.9754 0.3942
# Calculated density   10.46 g/cm³
# D(E_F)   3.83 states/eV/f.u.
# Space group   No. 8
# Total magnetic moment   0.00 μB per atom


The structure with the greatest stability is arrangement a.